This record from Alexandria via LeMat-Bulk describes K3Cd2Se4 after structural relaxation. The functional is GGA-PBE.

E = -26.80 eV for the cell shown
ΔE_f (raw) = -0.860 eV per atom
size of the total moment = 0.079 μB per atom
symmetry = No. 12
density of states at the Fermi level = 2.02 states/eV/f.u.

a = 4.5372 Å, b = 7.7043 Å, c = 8.9845 Å
α = 112.01°, β = 104.62°, γ = 90.00°
Each line ends with the local moment (μB).
Sites, in units of the cell vectors:
K (0.8705, 0.4556, 0.7411)  0.00
K (0.1295, 0.5444, 0.2589)  0.00
Cd (0.6673, 0.9670, 0.3348)  0.01
Se (0.5138, 0.7047, 0.0277)  0.18
Cd (0.3327, 0.0330, 0.6652)  0.01
K (0.0000, 0.0000, 0.0000)  0.01
Se (0.4862, 0.2953, 0.9723)  0.18
Se (0.7877, 0.8126, 0.5753)  0.01
Se (0.2123, 0.1874, 0.4247)  0.01